1.
The following is a DFT calculation (PBE-GGA) of a relaxed structure of Nd2ScMnSe5.

Computed properties:
The total moment is 8.6 μB per cell. For the formation energy from raw total energies, the calculation gives -1.508 eV per atom.

Cell and atoms, written as POSCAR:
```
Nd2ScMnSe5
1.0
2.020 -8.577 0.000
2.020 8.577 0.000
0.000 0.000 12.298
Nd Sc Mn Se
4 2 2 10
direct
0.119 0.881 0.500 Nd
0.124 0.876 0.856 Nd
0.876 0.124 0.356 Nd
0.881 0.119 0.000 Nd
0.184 0.816 0.182 Sc
0.816 0.184 0.682 Sc
0.441 0.559 0.593 Mn
0.559 0.441 0.093 Mn
0.024 0.976 0.192 Se
0.303 0.697 0.524 Se
0.303 0.697 0.837 Se
0.344 0.656 0.177 Se
0.498 0.502 0.916 Se
0.502 0.498 0.416 Se
0.656 0.344 0.677 Se
0.697 0.303 0.024 Se
0.697 0.303 0.337 Se
0.976 0.024 0.692 Se
```


2.
The following is a DFT calculation (PBE-GGA) of a relaxed structure of Nd3MnSe6.

Computed properties:
The total moment is 8.0 μB per cell. For the formation energy from raw total energies, the calculation gives -1.473 eV per atom.

Cell and atoms, written as POSCAR:
```
Nd3MnSe6
1.0
5.739 -7.037 0.000
5.739 7.037 0.000
0.000 0.000 7.014
Nd Mn Se
6 2 12
direct
0.102 0.898 0.500 Nd
0.220 0.417 0.405 Nd
0.417 0.220 0.905 Nd
0.583 0.780 0.405 Nd
0.780 0.583 0.905 Nd
0.898 0.102 0.000 Nd
0.301 0.699 0.866 Mn
0.699 0.301 0.366 Mn
0.071 0.594 0.697 Se
0.131 0.192 0.702 Se
0.192 0.131 0.202 Se
0.279 0.721 0.214 Se
0.406 0.929 0.697 Se
0.460 0.540 0.715 Se
0.540 0.460 0.215 Se
0.594 0.071 0.197 Se
0.721 0.279 0.714 Se
0.808 0.869 0.702 Se
0.869 0.808 0.202 Se
0.929 0.406 0.197 Se
```


3.
The following is a DFT calculation (PBE-GGA) of a relaxed structure of Nd2MnSe4.

Computed properties:
The total moment is 4.6 μB per cell. For the formation energy from raw total energies, the calculation gives -1.389 eV per atom.

Cell and atoms, written as POSCAR:
```
Nd2MnSe4
1.0
5.846 -2.017 0.000
5.846 2.017 0.000
-3.959 0.000 7.270
Nd Mn Se
2 1 4
direct
0.166 0.166 0.191 Nd
0.834 0.834 0.809 Nd
0.500 0.500 0.500 Mn
0.157 0.157 0.550 Se
0.425 0.425 0.129 Se
0.575 0.575 0.871 Se
0.843 0.843 0.450 Se
```


4.
The following is a DFT calculation (PBE-GGA) of a relaxed structure of NdMnSe2.

Computed properties:
The total moment is 4.3 μB per cell. For the formation energy from raw total energies, the calculation gives -0.528 eV per atom.

Cell and atoms, written as POSCAR:
```
NdMnSe2
1.0
1.908 1.101 8.573
-1.908 1.101 8.573
0.000 -2.203 8.573
Nd Mn Se
1 1 2
direct
0.000 0.000 0.000 Nd
0.500 0.500 0.500 Mn
0.112 0.112 0.112 Se
0.888 0.888 0.888 Se
```


5.
The following is a DFT calculation (PBE-GGA) of a relaxed structure of Nd2SmMnSe5.

Computed properties:
The total moment is 8.6 μB per cell. For the formation energy from raw total energies, the calculation gives -1.546 eV per atom.

Cell and atoms, written as POSCAR:
```
Nd2SmMnSe5
1.0
2.046 -8.791 0.000
2.046 8.791 0.000
0.000 0.000 12.567
Nd Sm Mn Se
4 2 2 10
direct
0.119 0.881 0.500 Nd
0.120 0.880 0.846 Nd
0.880 0.120 0.346 Nd
0.881 0.119 0.000 Nd
0.180 0.820 0.180 Sm
0.820 0.180 0.680 Sm
0.449 0.551 0.577 Mn
0.551 0.449 0.077 Mn
0.012 0.988 0.173 Se
0.302 0.698 0.846 Se
0.313 0.687 0.509 Se
0.345 0.655 0.172 Se
0.494 0.506 0.902 Se
0.506 0.494 0.402 Se
0.655 0.345 0.672 Se
0.687 0.313 0.009 Se
0.698 0.302 0.346 Se
0.988 0.012 0.673 Se
```


6.
The following is a DFT calculation (PBE-GGA) of a relaxed structure of TbNd2MnSe5.

Computed properties:
The total moment is 8.7 μB per cell. For the formation energy from raw total energies, the calculation gives -1.551 eV per atom.

Cell and atoms, written as POSCAR:
```
TbNd2MnSe5
1.0
2.040 -8.726 0.000
2.040 8.726 0.000
0.000 0.000 12.513
Tb Nd Mn Se
2 4 2 10
direct
0.181 0.819 0.500 Tb
0.819 0.181 0.000 Tb
0.118 0.882 0.821 Nd
0.121 0.879 0.169 Nd
0.879 0.121 0.669 Nd
0.882 0.118 0.321 Nd
0.447 0.553 0.901 Mn
0.553 0.447 0.401 Mn
0.015 0.985 0.498 Se
0.303 0.697 0.163 Se
0.309 0.691 0.833 Se
0.345 0.655 0.493 Se
0.495 0.505 0.225 Se
0.505 0.495 0.725 Se
0.655 0.345 0.993 Se
0.691 0.309 0.333 Se
0.697 0.303 0.663 Se
0.985 0.015 0.998 Se
```


What are the energy values for these records? In order: -0.458; -0.434; -0.445; -0.423; -0.447; -0.447 Ry/atom.